Nd4Ru3C5 | PBE | optimized geometry

```
Nd4Ru3C5
1.0
5.973 -1.979 0.000
5.973 1.979 0.000
-4.137 0.000 8.932
Nd Ru C
4 3 5
Cartesian
-0.421 0.000 3.592
-0.349 0.000 7.446
8.158 0.000 1.485
8.230 0.000 5.339
0.000 0.000 0.000
4.679 0.000 1.540
3.131 0.000 7.392
2.050 0.000 3.471
3.270 0.000 2.910
5.973 0.000 0.000
4.539 0.000 6.021
5.760 0.000 5.461
```

## Properties
- Calculated formation energy: -148 meV per atom
- Space group: No. 12
- M_tot: 0.0 Bohr magnetons per cell
- Calculated volume: 211 Å³/f.u.